Arrangement a

## ZnI2NF (PBE)

Data for crystalline ZnI2NF at its relaxed geometry.

It has space group P4/mmm (No. 123), with a = 5.810 Å, b = 5.810 Å, c = 3.685 Å, α = 90.00°, β = 90.00° and γ = 90.00°. Symmetry generates all atoms from Zn at (0.000, 0.000, 0.000), I at (0.000, 0.500, 0.000), N at (0.000, 0.000, 0.500) and F at (0.500, 0.500, 0.500).

The density of states at the Fermi level is 2.041 states/eV per atom.

Arrangement b

## ZnI2NF (PBE)

Data for crystalline ZnI2NF at its relaxed geometry.

It has space group P4/mmm (No. 123), with a = 5.583 Å, b = 5.583 Å, c = 3.892 Å, α = 90.00°, β = 90.00° and γ = 90.00°. Symmetry generates all atoms from Zn at (0.000, 0.000, 0.000), I at (0.000, 0.500, 0.500), N at (0.500, 0.500, 0.000) and F at (0.500, 0.500, 0.500).

The density of states at the Fermi level is 0.731 states/eV per atom.

Of them, the most stable is arrangement a and the least stable is arrangement b.

Arrangement a

## ZrIN2F (PBE)

Data for crystalline ZrIN2F at its relaxed geometry.

It has space group P4/mmm (No. 123), with a = 4.290 Å, b = 4.290 Å, c = 4.050 Å, α = 90.00°, β = 90.00° and γ = 90.00°. Symmetry generates all atoms from Zr at (0.000, 0.000, 0.000), I at (0.500, 0.500, 0.000), N at (0.000, 0.500, 0.500) and F at (0.500, 0.500, 0.500).

The density of states at the Fermi level is 0.359 states/eV per atom.

Arrangement b

## ZrIN2F (PBE)

Data for crystalline ZrIN2F at its relaxed geometry.

It has space group P4/mmm (No. 123), with a = 4.115 Å, b = 4.115 Å, c = 6.173 Å, α = 90.00°, β = 90.00° and γ = 90.00°. Symmetry generates all atoms from Zr at (0.000, 0.000, 0.000), I at (0.000, 0.000, 0.500), N at (0.000, 0.500, 0.000) and F at (0.500, 0.500, 0.500).

The density of states at the Fermi level is 0.845 states/eV per atom.

Arrangement c

## ZrIN2F (PBE)

Data for crystalline ZrIN2F at its relaxed geometry.

It has space group P4/mmm (No. 123), with a = 4.220 Å, b = 4.220 Å, c = 4.351 Å, α = 90.00°, β = 90.00° and γ = 90.00°. Symmetry generates all atoms from Zr at (0.000, 0.000, 0.000), I at (0.500, 0.500, 0.500), N at (0.000, 0.500, 0.500) and F at (0.500, 0.500, 0.000).

The density of states at the Fermi level is 0.745 states/eV per atom.

Of them, the most stable is arrangement b and the least stable is arrangement a.

Arrangement a

## ZrINF2 (PBE)

Data for crystalline ZrINF2 at its relaxed geometry.

It has space group P4/mmm (No. 123), with a = 4.836 Å, b = 4.836 Å, c = 4.079 Å, α = 90.00°, β = 90.00° and γ = 90.00°. Symmetry generates all atoms from Zr at (0.000, 0.000, 0.000), I at (0.500, 0.500, 0.500), N at (0.500, 0.500, 0.000) and F at (0.000, 0.500, 0.500).

The density of states at the Fermi level is 1.144 states/eV per atom.

Arrangement b

## ZrINF2 (PBE)

Data for crystalline ZrINF2 at its relaxed geometry.

It has space group P4/mmm (No. 123), with a = 4.254 Å, b = 4.254 Å, c = 4.480 Å, α = 90.00°, β = 90.00° and γ = 90.00°. Symmetry generates all atoms from Zr at (0.000, 0.000, 0.000), I at (0.500, 0.500, 0.500), N at (0.000, 0.000, 0.500) and F at (0.000, 0.500, 0.000).

The density of states at the Fermi level is 0.270 states/eV per atom.

Of them, the most stable is arrangement b and the least stable is arrangement a.